1.
Below is a geometry-optimized YTa2Tc structure, with properties calculated at the PBE-GGA level.

Calculated values
SG   No. 47
DFT formation energy   0.2612 eV/atom
Excess energy over the best structure of this formula in the dataset   219.0 meV/atom

abc: 3.3077 4.6691 4.9296
angles: 90.00 90.00 90.00
Positions (direct):
Y 0.0000 0.5000 0.5000
Tc 0.5000 0.0000 0.5000
Ta 0.5000 0.5000 0.0000
Ta 0.0000 0.0000 0.0000

2.
Below is a geometry-optimized InTcBi3 structure, with properties calculated at the PBE-GGA level.

Calculated values
SG   No. 221
DFT formation energy   0.4846 eV/atom
Excess energy over the best structure of this formula in the dataset   0.0 meV/atom

abc: 5.3650 5.3650 5.3650
angles: 90.00 90.00 90.00
Positions (direct):
Bi 0.0000 0.0000 0.5000
Bi 0.5000 0.0000 0.0000
Bi 0.0000 0.5000 0.0000
Tc 0.0000 0.0000 0.0000
In 0.5000 0.5000 0.5000

3.
Below is a geometry-optimized LiMnRu structure, with properties calculated at the PBE-GGA level.

Calculated values
SG   No. 11
DFT formation energy   0.1423 eV/atom
Excess energy over the best structure of this formula in the dataset   0.0 meV/atom

abc: 2.6427 3.9318 8.7629
angles: 116.66 101.62 90.00
Last column: magnetic moment on the atom in μB.
Positions (direct):
Ru 0.3694 0.0495 0.7995  -0.20
Ru 0.6306 0.9505 0.2005  -0.20
Mn 0.9384 0.6628 0.9128  0.81
Mn 0.0616 0.3372 0.0872  0.81
Li 0.7670 0.3295 0.5795  0.01
Li 0.2330 0.6705 0.4205  0.01

> The highest DFT formation energy belongs to which entry?

InTcBi3